This record from the Alexandria database describes a relaxed structure of ReNi2Hg. The functional is GGA-PBE.

abc: 4.3450 4.3450 4.3450
angles: 60.00 60.00 60.00
With the nearest neighbours (Å) after each atom.
Atoms (fractional coordinates):
Ni: 0.2500 0.2500 0.2500  4 Hg 2.66, 4 Ni 2.66
Ni: 0.0000 0.0000 0.0000  4 Ni 2.66, 4 Re 2.66
Hg: 0.5000 0.5000 0.5000  4 Re 2.66, 4 Ni 2.66
Re: 0.7500 0.7500 0.7500  4 Hg 2.66, 4 Ni 2.66

The value obtained for the density of states at the Fermi level is 5.15 states/eV/cell. Its formation energy is 717 meV per atom.